(1)
Entry from Alexandria: a geometry-optimized CsSmSe4 structure (GGA-PBE).

Results
Formation energy from raw total energies: -1177 meV per atom
Total magnetic moment: 0.000 μB/atom

CIF file:
```
data_CsSmSe4
_space_group_name_H-M_alt 'P 1'
_space_group_IT_number 1
_cell_length_a 6.3913
_cell_length_b 6.3913
_cell_length_c 9.1226
_cell_angle_alpha 90.00
_cell_angle_beta 90.00
_cell_angle_gamma 90.00
loop_
_space_group_symop_operation_xyz
'x,y,z'
loop_
_atom_site_label
_atom_site_type_symbol
_atom_site_fract_x
_atom_site_fract_y
_atom_site_fract_z
Cs1 Cs 0.5000 0.5000 0.5000
Cs2 Cs 0.0000 0.0000 0.5000
Sm1 Sm 0.5000 0.5000 0.0000
Sm2 Sm 0.0000 0.0000 0.0000
Se1 Se 0.6347 0.8653 0.1929
Se2 Se 0.1347 0.6347 0.1929
Se3 Se 0.8653 0.3653 0.1929
Se4 Se 0.6347 0.1347 0.8071
Se5 Se 0.3653 0.8653 0.8071
Se6 Se 0.3653 0.1347 0.1929
Se7 Se 0.8653 0.6347 0.8071
Se8 Se 0.1347 0.3653 0.8071
```


(2)
Entry from Alexandria: a geometry-optimized Tb2Pm3PuSe6 structure (GGA-PBE).

Results
Formation energy from raw total energies: -1782 meV per atom
Total magnetic moment: 0.496 μB/atom

CIF file:
```
data_Tb2Pm3PuSe6
_space_group_name_H-M_alt 'P 1'
_space_group_IT_number 1
_cell_length_a 4.1278
_cell_length_b 8.3505
_cell_length_c 9.2966
_cell_angle_alpha 103.20
_cell_angle_beta 102.83
_cell_angle_gamma 90.00
loop_
_space_group_symop_operation_xyz
'x,y,z'
loop_
_atom_site_label
_atom_site_type_symbol
_atom_site_fract_x
_atom_site_fract_y
_atom_site_fract_z
Tb1 Tb 0.8359 0.6712 0.6718
Tb2 Tb 0.1641 0.3288 0.3282
Pm1 Pm 0.5000 0.5000 0.0000
Pm2 Pm 0.8345 0.1653 0.6690
Pm3 Pm 0.1655 0.8347 0.3310
Pu1 Pu 0.5000 0.0000 0.0000
Se1 Se 0.3338 0.9111 0.6675
Se2 Se 0.6698 0.5780 0.3396
Se3 Se 0.6662 0.0889 0.3325
Se4 Se 0.0016 0.2475 0.0032
Se5 Se 0.9984 0.7525 0.9968
Se6 Se 0.3302 0.4220 0.6604
```


(3)
Entry from Alexandria: a geometry-optimized CaFeBr2 structure (GGA-PBE).

Results
Distance to the lowest polymorph of the same formula: 217 meV/atom
Formation energy from raw total energies: -384 meV per atom
Total magnetic moment: 0.766 μB/atom

CIF file:
```
data_CaFeBr2
_space_group_name_H-M_alt 'P 1'
_space_group_IT_number 1
_cell_length_a 4.8713
_cell_length_b 4.8713
_cell_length_c 3.7780
_cell_angle_alpha 90.00
_cell_angle_beta 90.00
_cell_angle_gamma 90.00
loop_
_space_group_symop_operation_xyz
'x,y,z'
loop_
_atom_site_label
_atom_site_type_symbol
_atom_site_fract_x
_atom_site_fract_y
_atom_site_fract_z
Ca1 Ca 0.5000 0.0000 0.5000
Fe1 Fe 0.0000 0.5000 0.5000
Br1 Br 0.0000 0.0000 0.0000
Br2 Br 0.5000 0.5000 0.0000
```


(4)
Entry from Alexandria: a geometry-optimized YMg2TlCu structure (GGA-PBE).

Results
E_form: -0.0135 eV/atom
Total magnetic moment: 0.000 μB/atom

CIF file:
```
data_YMg2TlCu
_space_group_name_H-M_alt 'P 1'
_space_group_IT_number 1
_cell_length_a 4.9242
_cell_length_b 4.9242
_cell_length_c 5.2603
_cell_angle_alpha 90.00
_cell_angle_beta 90.00
_cell_angle_gamma 90.00
loop_
_space_group_symop_operation_xyz
'x,y,z'
loop_
_atom_site_label
_atom_site_type_symbol
_atom_site_fract_x
_atom_site_fract_y
_atom_site_fract_z
Y1 Y 0.0000 0.0000 0.5000
Tl1 Tl 0.5000 0.5000 0.5000
Mg1 Mg 0.0000 0.5000 0.0000
Mg2 Mg 0.5000 0.0000 0.0000
Cu1 Cu 0.0000 0.0000 0.0000
```


(5)
Entry from Alexandria: a geometry-optimized DyYSc3 structure (GGA-PBE).

Results
E_form: 0.1744 eV/atom
Distance to the lowest polymorph of the same formula: 148 meV/atom
Total magnetic moment: 0.000 μB/atom

CIF file:
```
data_DyYSc3
_space_group_name_H-M_alt 'P 1'
_space_group_IT_number 1
_cell_length_a 7.0860
_cell_length_b 7.6315
_cell_length_c 6.4561
_cell_angle_alpha 102.93
_cell_angle_beta 123.28
_cell_angle_gamma 90.00
loop_
_space_group_symop_operation_xyz
'x,y,z'
loop_
_atom_site_label
_atom_site_type_symbol
_atom_site_fract_x
_atom_site_fract_y
_atom_site_fract_z
Dy1 Dy 0.8491 0.9991 0.6983
Dy2 Dy 0.1509 0.0009 0.3017
Y1 Y 0.3901 0.7773 0.7801
Y2 Y 0.6099 0.2227 0.2199
Sc1 Sc 0.8466 0.6607 0.2762
Sc2 Sc 0.1016 0.3817 0.2032
Sc3 Sc 0.4296 0.6607 0.2762
Sc4 Sc 0.5704 0.3393 0.7238
Sc5 Sc 0.1534 0.3393 0.7238
Sc6 Sc 0.8984 0.6183 0.7968
```


(6)
Entry from Alexandria: a geometry-optimized Tc2SbPt structure (GGA-PBE).

Results
Formation energy from raw total energies: 355 meV per atom
Total magnetic moment: 0.061 μB/atom

CIF file:
```
data_Tc2SbPt
_space_group_name_H-M_alt 'P 1'
_space_group_IT_number 1
_cell_length_a 4.5500
_cell_length_b 4.5500
_cell_length_c 4.5500
_cell_angle_alpha 60.00
_cell_angle_beta 60.00
_cell_angle_gamma 60.00
loop_
_space_group_symop_operation_xyz
'x,y,z'
loop_
_atom_site_label
_atom_site_type_symbol
_atom_site_fract_x
_atom_site_fract_y
_atom_site_fract_z
Pt1 Pt 0.5000 0.5000 0.5000
Sb1 Sb 0.2500 0.2500 0.2500
Tc1 Tc 0.0000 0.0000 0.0000
Tc2 Tc 0.7500 0.7500 0.7500
```


(7)
Entry from Alexandria: a geometry-optimized La5Nd5In2 structure (GGA-PBE).

Results
E_form: -0.1421 eV/atom
Distance to the lowest polymorph of the same formula: 0 meV/atom
Total magnetic moment: 0.000 μB/atom

CIF file:
```
data_La5Nd5In2
_space_group_name_H-M_alt 'P 1'
_space_group_IT_number 1
_cell_length_a 3.7308
_cell_length_b 9.4450
_cell_length_c 12.1981
_cell_angle_alpha 75.09
_cell_angle_beta 81.20
_cell_angle_gamma 78.61
loop_
_space_group_symop_operation_xyz
'x,y,z'
loop_
_atom_site_label
_atom_site_type_symbol
_atom_site_fract_x
_atom_site_fract_y
_atom_site_fract_z
La1 La 0.5000 0.5000 0.5000
La2 La 0.3439 0.3339 0.9783
La3 La 0.3777 0.9889 0.2557
La4 La 0.6223 0.0111 0.7443
La5 La 0.6561 0.6661 0.0217
Nd1 Nd 0.8304 0.8306 0.5087
Nd2 Nd 0.3018 0.6402 0.7562
Nd3 Nd 0.6982 0.3598 0.2438
Nd4 Nd 0.1696 0.1694 0.4913
Nd5 Nd 0.0000 0.0000 0.0000
In1 In 0.9683 0.3236 0.7398
In2 In 0.0317 0.6764 0.2602
```


(8)
Entry from Alexandria: a geometry-optimized AgRh4 structure (GGA-PBE).

Results
E_form: 0.1917 eV/atom
Distance to the lowest polymorph of the same formula: 68 meV/atom
Total magnetic moment: 0.000 μB/atom

CIF file:
```
data_AgRh4
_space_group_name_H-M_alt 'P 1'
_space_group_IT_number 1
_cell_length_a 4.7814
_cell_length_b 4.7814
_cell_length_c 4.7814
_cell_angle_alpha 99.46
_cell_angle_beta 99.46
_cell_angle_gamma 132.15
loop_
_space_group_symop_operation_xyz
'x,y,z'
loop_
_atom_site_label
_atom_site_type_symbol
_atom_site_fract_x
_atom_site_fract_y
_atom_site_fract_z
Ag1 Ag 0.0000 0.0000 0.0000
Rh1 Rh 0.4013 0.1928 0.5941
Rh2 Rh 0.5987 0.8072 0.4059
Rh3 Rh 0.8072 0.4013 0.2085
Rh4 Rh 0.1928 0.5987 0.7915
```


(9)
Entry from Alexandria: a geometry-optimized CuNiSe2 structure (GGA-PBE).

Results
Formation energy from raw total energies: -98 meV per atom
Total magnetic moment: 0.000 μB/atom

CIF file:
```
data_CuNiSe2
_space_group_name_H-M_alt 'P 1'
_space_group_IT_number 1
_cell_length_a 16.1911
_cell_length_b 3.7026
_cell_length_c 7.5948
_cell_angle_alpha 90.00
_cell_angle_beta 139.38
_cell_angle_gamma 90.00
loop_
_space_group_symop_operation_xyz
'x,y,z'
loop_
_atom_site_label
_atom_site_type_symbol
_atom_site_fract_x
_atom_site_fract_y
_atom_site_fract_z
Ni1 Ni 0.2092 0.7500 0.0849
Ni2 Ni 0.7908 0.2500 0.9151
Ni3 Ni 0.2908 0.2500 0.4151
Ni4 Ni 0.7092 0.7500 0.5849
Cu1 Cu 0.5496 0.2500 0.4515
Cu2 Cu 0.4504 0.7500 0.5485
Cu3 Cu 0.9504 0.7500 0.0485
Cu4 Cu 0.0496 0.2500 0.9515
Se1 Se 0.8223 0.2500 0.6466
Se2 Se 0.1777 0.7500 0.3534
Se3 Se 0.6777 0.7500 0.8534
Se4 Se 0.3223 0.2500 0.1466
Se5 Se 0.0073 0.7500 0.6449
Se6 Se 0.9927 0.2500 0.3551
Se7 Se 0.4927 0.2500 0.8551
Se8 Se 0.5073 0.7500 0.1449
```


(10)
Entry from Alexandria: a geometry-optimized Er3Co2 structure (GGA-PBE).

Results
E_form: -0.1878 eV/atom
Distance to the lowest polymorph of the same formula: 0 meV/atom
Total magnetic moment: 0.000 μB/atom

CIF file:
```
data_Er3Co2
_space_group_name_H-M_alt 'P 1'
_space_group_IT_number 1
_cell_length_a 3.9181
_cell_length_b 5.7728
_cell_length_c 5.7728
_cell_angle_alpha 62.33
_cell_angle_beta 70.16
_cell_angle_gamma 70.16
loop_
_space_group_symop_operation_xyz
'x,y,z'
loop_
_atom_site_label
_atom_site_type_symbol
_atom_site_fract_x
_atom_site_fract_y
_atom_site_fract_z
Er1 Er 0.0000 0.0000 0.0000
Er2 Er 0.8055 0.6945 0.6945
Er3 Er 0.1945 0.3055 0.3055
Co1 Co 0.5000 0.3085 0.6915
Co2 Co 0.5000 0.6915 0.3085
```


(11)
Entry from Alexandria: a geometry-optimized Pr5NdSm4 structure (GGA-PBE).

Results
E_form: 0.1423 eV/atom
Distance to the lowest polymorph of the same formula: 0 meV/atom
Total magnetic moment: 0.000 μB/atom

CIF file:
```
data_Pr5NdSm4
_space_group_name_H-M_alt 'P 1'
_space_group_IT_number 1
_cell_length_a 3.5351
_cell_length_b 7.0013
_cell_length_c 14.5703
_cell_angle_alpha 97.28
_cell_angle_beta 96.97
_cell_angle_gamma 90.00
loop_
_space_group_symop_operation_xyz
'x,y,z'
loop_
_atom_site_label
_atom_site_type_symbol
_atom_site_fract_x
_atom_site_fract_y
_atom_site_fract_z
Pr1 Pr 0.2002 0.5980 0.4003
Pr2 Pr 0.2053 0.1040 0.4106
Pr3 Pr 0.7947 0.8960 0.5894
Pr4 Pr 0.5000 0.5000 0.0000
Pr5 Pr 0.7998 0.4020 0.5997
Nd1 Nd 0.5000 0.0000 0.0000
Sm1 Sm 0.6074 0.8106 0.2149
Sm2 Sm 0.9063 0.7019 0.8126
Sm3 Sm 0.3926 0.1894 0.7851
Sm4 Sm 0.0937 0.2981 0.1874
```


(12)
Entry from Alexandria: a geometry-optimized NiMoIr structure (GGA-PBE).

Results
E_form: -0.0968 eV/atom
Distance to the lowest polymorph of the same formula: 127 meV/atom
Total magnetic moment: 0.000 μB/atom

CIF file:
```
data_NiMoIr
_space_group_name_H-M_alt 'P 1'
_space_group_IT_number 1
_cell_length_a 5.9216
_cell_length_b 5.9218
_cell_length_c 2.7163
_cell_angle_alpha 76.74
_cell_angle_beta 76.74
_cell_angle_gamma 26.52
loop_
_space_group_symop_operation_xyz
'x,y,z'
loop_
_atom_site_label
_atom_site_type_symbol
_atom_site_fract_x
_atom_site_fract_y
_atom_site_fract_z
Ir1 Ir 0.9970 0.9970 0.0030
Mo1 Mo 0.6703 0.6703 0.3297
Ni1 Ni 0.3328 0.3328 0.6672
```